[1]
VASP calculation (PBE-GGA) on a relaxed structure of RbHgPbSe3.

Lattice parameters (Å, degrees): 9.5294 4.2774 10.4686 90.00 104.38 90.00
Positions (direct):
Rb 0.2022 0.2500 0.2471
Rb 0.7978 0.7500 0.7529
Hg 0.0922 0.2500 0.6235
Hg 0.9078 0.7500 0.3765
Pb 0.3396 0.7500 0.8833
Pb 0.6604 0.2500 0.1167
Se 0.1171 0.2500 0.8830
Se 0.2041 0.7500 0.5241
Se 0.4577 0.7500 0.1601
Se 0.5423 0.2500 0.8399
Se 0.7959 0.2500 0.4759
Se 0.8829 0.7500 0.1170

Results
For the uncorrected formation energy, the calculation gives -485 meV per atom. The density of states at the Fermi level is 0.76 states/eV per atom. For the volume, the calculation gives 413.3 Å³/cell. As for the calculated total energy: -36.69 eV per cell.

***

[2]
VASP calculation (PBE-GGA) on a relaxed structure of Ce2HgPb.

Lattice parameters (Å, degrees): 5.4972 5.4972 5.4972 60.00 60.00 60.00
Positions (direct):
Ce 0.2500 0.2500 0.2500
Ce 0.7500 0.7500 0.7500
Hg 0.0000 0.0000 0.0000
Pb 0.5000 0.5000 0.5000

Results
The density of states at the Fermi level is 9.82 states/eV per atom. The calculation puts the formation energy at -323 meV/atom. For the volume, the calculation gives 117.5 Å³/cell. As for the calculated total energy: -17.17 eV per cell.